Entry from Alexandria: Dy15Y4Mg after structural relaxation (GGA-PBE).

Space group: P4/mmm (123)
Magnetic moment, μB per atom: 0.000
Calculated formation energy, kJ/mol of formula units: 40.1
DOS at the Fermi energy, states/eV/cell: 26.39
Crystal system: tetragonal

Cell: 4.995 4.995 25.042 Å, 90.00 90.00 90.00°
Positions (direct):
1 Dy 0.500 0.500 0.000
2 Dy 0.500 0.500 0.196
3 Dy 0.500 0.500 0.399
4 Dy 0.500 0.500 0.601
5 Dy 0.500 0.500 0.804
6 Dy 0.500 0.000 0.098
7 Dy 0.500 0.000 0.299
8 Dy 0.500 0.000 0.500
9 Dy 0.500 0.000 0.701
10 Dy 0.500 0.000 0.902
11 Dy 0.000 0.500 0.098
12 Dy 0.000 0.500 0.299
13 Dy 0.000 0.500 0.500
14 Dy 0.000 0.500 0.701
15 Dy 0.000 0.500 0.902
16 Y 0.000 0.000 0.198
17 Y 0.000 0.000 0.399
18 Y 0.000 0.000 0.601
19 Y 0.000 0.000 0.802
20 Mg 0.000 0.000 0.000